Compound: SiBiPt2
Source: Alexandria
Functional: PBE
Structure: relaxed

Distance to the lowest polymorph of the same formula: 0.288 eV per atom
VASP energy: -5.2832 eV/atom
Uncorrected formation energy: 0.063 eV per atom
Space group: Fm-3m

a = 4.7312 Å, b = 4.7312 Å, c = 4.7312 Å
α = 60.00°, β = 60.00°, γ = 60.00°
Fractional positions:
1 Si 0.0000 0.0000 0.0000
2 Bi 0.5000 0.5000 0.5000
3 Pt 0.2500 0.2500 0.2500
4 Pt 0.7500 0.7500 0.7500